Record 1
Material: RbGe
Method: DFT, GGA-PBEsol
State: optimized geometry

Lattice parameters (Å, degrees): 10.9423 10.9423 17.8289 90.00 90.00 90.00
With the nearest neighbours (Å) after each atom.
Space group I4_1/acd (No. 142, origin choice 2)
Inequivalent atoms, fractional coordinates:
Rb: 0.1207 0.1293 0.1250 [16 per cell]  6 Ge 3.61-3.75, 5 Rb 3.70-3.91
Rb: 0.1427 0.0000 0.7500 [16 per cell]  8 Ge 3.62-3.73, 4 Rb 3.70-3.91
Ge: 0.0606 0.1492 0.9263 [32 per cell]  3 Ge 2.57-2.58

- E_form (kJ/mol of formula units) = -37.2
- electronic total energy (eV per atom) = -3.17

Record 2
Material: RbRe3Ge
Method: DFT, GGA-PBEsol
State: optimized geometry

Lattice parameters (Å, degrees): 4.6801 4.6801 4.6801 90.00 90.00 90.00
With the nearest neighbours (Å) after each atom.
Space group Pm-3m (No. 221)
Inequivalent atoms, fractional coordinates:
Rb: 0.0000 0.0000 0.0000 [1 per cell]  6 Re 2.34
Re: 0.0000 0.0000 0.5000 [3 per cell]  2 Rb 2.34
Ge: 0.5000 0.5000 0.5000 [1 per cell]  12 Re 3.31

- E_form (kJ/mol of formula units) = 2020.8
- electronic total energy (eV per atom) = -5.00

Record 3
Material: RbGeRh3
Method: DFT, GGA-PBEsol
State: optimized geometry

Lattice parameters (Å, degrees): 4.6448 4.6448 4.6448 90.00 90.00 90.00
With the nearest neighbours (Å) after each atom.
Space group Pm-3m (No. 221)
Inequivalent atoms, fractional coordinates:
Rb: 0.0000 0.0000 0.0000 [1 per cell]  12 Rh 3.28
Ge: 0.5000 0.5000 0.5000 [1 per cell]  6 Rh 2.32
Rh: 0.0000 0.5000 0.5000 [3 per cell]  2 Ge 2.32

- E_form (kJ/mol of formula units) = 308.0
- electronic total energy (eV per atom) = -5.44